Record 1
Here is crystalline CeNdIrRh at its relaxed geometry from Alexandria via LeMat-Bulk. Energies are from PBE-GGA.

Calculated values
Energy above the most stable polymorph in this dataset ... 0 meV per atom
Calculated volume ... 180 Å³ per cell
Mass density ... 10.7 g/cm3
Energy relative to the elements ... -0.741 eV/atom

Cell lengths 4.128, 3.901, 11.210 Å; angles 90.00, 90.00, 90.00 degrees
Space group Amm2 (No. 38)
One atom of each set of equivalent atoms:
1 Ce 0.000 0.000 0.000 x2
2 Nd 0.500 0.000 0.277 x2
3 Ir 0.500 0.000 0.544 x2
4 Rh 0.000 0.000 0.724 x2


Record 2
Here is crystalline CeNdSiIr at its relaxed geometry from Alexandria via LeMat-Bulk. Energies are from PBE-GGA.

Calculated values
Calculated volume ... 187 Å³ per cell
Mass density ... 9.0 g/cm3
Formation energy from raw total energies ... -75.49 kJ per mole of atoms

Cell lengths 4.058, 4.154, 11.095 Å; angles 90.00, 90.00, 90.00 degrees
Space group Amm2 (No. 38)
One atom of each set of equivalent atoms:
1 Ce 0.000 0.000 0.000 x2
2 Nd 0.500 0.000 0.720 x2
3 Si 0.000 0.000 0.300 x2
4 Ir 0.500 0.000 0.444 x2


Record 3
Here is crystalline CeNdZnIr at its relaxed geometry from Alexandria via LeMat-Bulk. Energies are from PBE-GGA.

Calculated values
Calculated volume ... 367 Å³ per cell
Mass density ... 9.8 g/cm3
Energy relative to the elements ... -0.436 eV/atom

Cell lengths 7.159, 7.159, 7.159 Å; angles 90.00, 90.00, 90.00 degrees
Space group F-43m (No. 216)
One atom of each set of equivalent atoms:
1 Ce 0.000 0.000 0.000 x4
2 Nd 0.000 0.000 0.500 x4
3 Zn 0.250 0.250 0.250 x4
4 Ir 0.250 0.250 0.750 x4


Record 4
Here is crystalline CeNiIr2 at its relaxed geometry from Alexandria via LeMat-Bulk. Energies are from PBE-GGA.

Calculated values
Energy above the most stable polymorph in this dataset ... 227 meV per atom
Calculated volume ... 241 Å³ per cell
Mass density ... 12.0 g/cm3
Energy relative to the elements ... -0.375 eV/atom

Cell lengths 4.4704, 4.4704, 13.9405 Å; angles 90.00, 90.00, 120.00 degrees
Space group R-3m (No. 166, hexagonal axes)
One atom of each set of equivalent atoms:
1 Ce 0.0000 0.0000 0.0000 x3
2 Ni 0.0000 0.0000 0.5000 x3
3 Ir 0.0000 0.0000 0.1813 x6


Record 5
Here is crystalline Ce6NiIr3 at its relaxed geometry from Alexandria via LeMat-Bulk. Energies are from PBE-GGA.

Calculated values
Calculated volume ... 511 Å³ per cell
Mass density ... 9.6 g/cm3
Energy relative to the elements ... -0.475 eV/atom

Cell lengths 6.841, 7.356, 11.982 Å; angles 90.00, 122.07, 90.00 degrees
Space group P2_1/c (No. 14)
One atom of each set of equivalent atoms:
1 Ce 0.076 0.066 0.252 x4
2 Ce 0.250 0.671 0.082 x4
3 Ce 0.400 0.178 0.069 x4
4 Ni 0.500 0.000 0.500 x2
5 Ir 0.000 0.000 0.000 x2
6 Ir 0.318 0.114 0.779 x4


Record 6
Here is crystalline Ce2NiIr at its relaxed geometry from Alexandria via LeMat-Bulk. Energies are from PBE-GGA.

Calculated values
Calculated volume ... 171 Å³ per cell
Mass density ... 10.3 g/cm3
Energy relative to the elements ... -0.570 eV/atom

Cell lengths 4.146, 3.785, 10.911 Å; angles 90.00, 90.00, 90.00 degrees
Space group Amm2 (No. 38)
One atom of each set of equivalent atoms:
1 Ce 0.000 0.000 0.000 x2
2 Ce 0.500 0.000 0.272 x2
3 Ni 0.000 0.000 0.725 x2
4 Ir 0.500 0.000 0.545 x2


Record 7
Here is crystalline Ce2NiIr at its relaxed geometry from Alexandria via LeMat-Bulk. Energies are from PBE-GGA.

Calculated values
Calculated volume ... 171 Å³ per cell
Mass density ... 10.3 g/cm3
Energy relative to the elements ... -0.585 eV/atom

Cell lengths 5.783, 4.163, 7.485 Å; angles 90.00, 108.64, 90.00 degrees
Space group P2_1/m (No. 11)
One atom of each set of equivalent atoms:
1 Ce 0.228 0.250 0.432 x2
2 Ce 0.228 0.250 0.934 x2
3 Ni 0.324 0.750 0.204 x2
4 Ir 0.316 0.750 0.708 x2


Record 8
Here is crystalline CeNi4Ir at its relaxed geometry from Alexandria via LeMat-Bulk. Energies are from PBE-GGA.

Calculated values
Energy above the most stable polymorph in this dataset ... 0 meV per atom
Calculated volume ... 332 Å³ per cell
Mass density ... 11.3 g/cm3
Energy relative to the elements ... -0.259 eV/atom

Cell lengths 6.925, 6.925, 6.925 Å; angles 90.00, 90.00, 90.00 degrees
Space group F-43m (No. 216)
One atom of each set of equivalent atoms:
1 Ce 0.000 0.000 0.000 x4
2 Ni 0.123 0.123 0.623 x16
3 Ir 0.250 0.250 0.250 x4


Record 9
Here is crystalline CeNi3Ir2 at its relaxed geometry from Alexandria via LeMat-Bulk. Energies are from PBE-GGA.

Calculated values
Energy above the most stable polymorph in this dataset ... 0 meV per atom
Calculated volume ... 92 Å³ per cell
Mass density ... 12.6 g/cm3
Energy relative to the elements ... -0.322 eV/atom

Cell lengths 5.0396, 5.0396, 4.2046 Å; angles 90.00, 90.00, 120.00 degrees
Space group P6/mmm (No. 191)
One atom of each set of equivalent atoms:
1 Ce 0.0000 0.0000 0.0000 x1
2 Ni 0.0000 0.5000 0.5000 x3
3 Ir 0.3333 0.6667 0.0000 x2


Record 10
Here is crystalline Ce12NiIr6 at its relaxed geometry from Alexandria via LeMat-Bulk. Energies are from PBE-GGA.

Calculated values
Calculated volume ... 1564 Å³ per cell
Mass density ... 9.2 g/cm3
Energy relative to the elements ... -0.447 eV/atom

Cell lengths 12.2592, 12.2592, 12.0182 Å; angles 90.00, 90.00, 120.00 degrees
Space group R-3 (No. 148, hexagonal axes)
One atom of each set of equivalent atoms:
1 Ce 0.0242 0.2133 0.3956 x18
2 Ce 0.0547 0.2104 0.8814 x18
3 Ni 0.0000 0.0000 0.0000 x3
4 Ir 0.0427 0.2680 0.6461 x18


Record 11
Here is crystalline Ce2Ni9Ir at its relaxed geometry from Alexandria via LeMat-Bulk. Energies are from PBE-GGA.

Calculated values
Calculated volume ... 498 Å³ per cell
Mass density ... 10.0 g/cm3
Energy relative to the elements ... -0.139 eV/atom

Cell lengths 4.8934, 4.8934, 24.0049 Å; angles 90.00, 90.00, 120.00 degrees
Space group R-3m (No. 166, hexagonal axes)
One atom of each set of equivalent atoms:
1 Ce 0.0000 0.0000 0.1270 x6
2 Ni 0.0000 0.0000 0.3329 x6
3 Ni 0.0000 0.0000 0.5000 x3
4 Ni 0.0013 0.5007 0.9183 x18
5 Ir 0.0000 0.0000 0.0000 x3


Record 12
Here is crystalline Ce3Ni8Ir at its relaxed geometry from Alexandria via LeMat-Bulk. Energies are from PBE-GGA.

Calculated values
Calculated volume ... 530 Å³ per cell
Mass density ... 10.2 g/cm3
Energy relative to the elements ... -0.361 eV/atom

Cell lengths 4.9716, 4.9716, 24.7551 Å; angles 90.00, 90.00, 120.00 degrees
Space group R3m (No. 160, hexagonal axes)
One atom of each set of equivalent atoms:
1 Ce 0.0000 0.0000 0.0000 x3
2 Ce 0.0000 0.0000 0.1303 x3
3 Ce 0.0000 0.0000 0.5213 x3
4 Ni 0.0000 0.0000 0.3210 x3
5 Ni 0.0000 0.0000 0.8205 x3
6 Ni 0.1680 0.3360 0.4029 x9
7 Ni 0.1684 0.3367 0.9045 x9
8 Ir 0.0000 0.0000 0.6384 x3


Repeat the fifth record exactly.
Here is crystalline Ce6NiIr3 at its relaxed geometry from Alexandria via LeMat-Bulk. Energies are from PBE-GGA.

Calculated values
Calculated volume ... 511 Å³ per cell
Mass density ... 9.6 g/cm3
Energy relative to the elements ... -0.475 eV/atom

Cell lengths 6.841, 7.356, 11.982 Å; angles 90.00, 122.07, 90.00 degrees
Space group P2_1/c (No. 14)
One atom of each set of equivalent atoms:
1 Ce 0.076 0.066 0.252 x4
2 Ce 0.250 0.671 0.082 x4
3 Ce 0.400 0.178 0.069 x4
4 Ni 0.500 0.000 0.500 x2
5 Ir 0.000 0.000 0.000 x2
6 Ir 0.318 0.114 0.779 x4


Q: The lowest mass density belongs to which entry?
A: CeNdSiIr


Q: Which value of calculated volume does entry 3 give?
A: 367 Å³ per cell